Record 1
# DyAl3Au10 PBE-GGA relaxed
# **Fermi-level density of states**: 4.49 states/eV/f.u.
# **Spin magnetization**: 0.00 μB/f.u.
# **Calculated total energy**: -3.76 eV per atom
# **Crystal system**: cubic
data_DyAl3Au10
_chemical_formula_sum 'Dy8 Al24 Au80'
_symmetry_space_group_name_H-M 'F m -3 m'
_symmetry_Int_Tables_number 225
_symmetry_space_group_name_Hall '-F 4 2 3'
_cell_length_a 12.972
_cell_length_b 12.972
_cell_length_c 12.972
_cell_angle_alpha 90.00
_cell_angle_beta 90.00
_cell_angle_gamma 90.00
loop_
_atom_site_label
_atom_site_type_symbol
_atom_site_fract_x
_atom_site_fract_y
_atom_site_fract_z
Dy1 Dy 0.250 0.250 0.250
Al1 Al 0.000 0.000 0.234
Au1 Au 0.000 0.172 0.328
Au2 Au 0.119 0.119 0.119

---

Record 2
# IrBr2Cl PBE-GGA relaxed
# **Formation energy from raw total energies**: -182.9 meV/atom
# **E above lowest polymorph**: 0 meV per atom
# **Fermi-level density of states**: 1.77 states/eV/f.u.
# **Spin magnetization**: 0.00 μB/f.u.
# **Calculated total energy**: -3.70 eV per atom
# **Crystal system**: triclinic
data_IrBr2Cl
_chemical_formula_sum 'Ir1 Br2 Cl1'
_symmetry_space_group_name_H-M 'P 1'
_symmetry_Int_Tables_number 1
_cell_length_a 3.765
_cell_length_b 4.699
_cell_length_c 6.974
_cell_angle_alpha 109.28
_cell_angle_beta 105.63
_cell_angle_gamma 90.00
loop_
_symmetry_equiv_pos_as_xyz
'x,y,z'
loop_
_atom_site_label
_atom_site_type_symbol
_atom_site_fract_x
_atom_site_fract_y
_atom_site_fract_z
Ir1 Ir 0.000 0.000 0.000
Br1 Br 0.369 0.871 0.737
Br2 Br 0.634 0.131 0.268
Cl1 Cl 0.037 0.538 0.077

---

Record 3
# Mg3GaPb PBE-GGA relaxed
# **E above lowest polymorph**: 50 meV per atom
# **Fermi-level density of states**: 2.03 states/eV/f.u.
# **Spin magnetization**: 0.00 μB/f.u.
# **Calculated total energy**: -2.30 eV per atom
# **Crystal system**: monoclinic
data_Mg3GaPb
_chemical_formula_sum 'Mg12 Ga4 Pb4'
_symmetry_space_group_name_H-M 'C 1 2/m 1'
_symmetry_Int_Tables_number 12
_cell_length_a 11.393
_cell_length_b 5.237
_cell_length_c 8.809
_cell_angle_alpha 90.00
_cell_angle_beta 108.22
_cell_angle_gamma 90.00
loop_
_symmetry_equiv_pos_as_xyz
'x,y,z'
'-x,-y,-z'
'-x,y,-z'
'x,-y,z'
'x+1/2,y+1/2,z'
'-x+1/2,-y+1/2,-z'
'-x+1/2,y+1/2,-z'
'x+1/2,-y+1/2,z'
loop_
_atom_site_label
_atom_site_type_symbol
_atom_site_fract_x
_atom_site_fract_y
_atom_site_fract_z
Mg1 Mg 0.126 0.000 0.154
Mg2 Mg 0.141 0.000 0.773
Mg3 Mg 0.142 0.500 0.394
Ga1 Ga 0.097 0.000 0.452
Pb1 Pb 0.122 0.500 0.946

---

Record 4
# Tb5PrIn PBE-GGA relaxed
# **Fermi-level density of states**: 9.56 states/eV/f.u.
# **Spin magnetization**: 0.00 μB/f.u.
# **Calculated total energy**: -4.30 eV per atom
# **Crystal system**: orthorhombic
data_Tb5PrIn
_chemical_formula_sum 'Tb10 Pr2 In2'
_symmetry_space_group_name_H-M 'I m m 2'
_symmetry_Int_Tables_number 44
_cell_length_a 6.302
_cell_length_b 6.554
_cell_length_c 10.982
_cell_angle_alpha 90.00
_cell_angle_beta 90.00
_cell_angle_gamma 90.00
loop_
_symmetry_equiv_pos_as_xyz
'x,y,z'
'-x,-y,z'
'-x,y,z'
'x,-y,z'
'x+1/2,y+1/2,z+1/2'
'-x+1/2,-y+1/2,z+1/2'
'-x+1/2,y+1/2,z+1/2'
'x+1/2,-y+1/2,z+1/2'
loop_
_atom_site_label
_atom_site_type_symbol
_atom_site_fract_x
_atom_site_fract_y
_atom_site_fract_z
Tb1 Tb 0.000 0.000 0.000
Tb2 Tb 0.000 0.268 0.252
Tb3 Tb 0.243 0.500 0.973
Pr1 Pr 0.000 0.500 0.625
In1 In 0.000 0.000 0.725

---

Please write out number 4 again, unchanged.
# Tb5PrIn PBE-GGA relaxed
# **Fermi-level density of states**: 9.56 states/eV/f.u.
# **Spin magnetization**: 0.00 μB/f.u.
# **Calculated total energy**: -4.30 eV per atom
# **Crystal system**: orthorhombic
data_Tb5PrIn
_chemical_formula_sum 'Tb10 Pr2 In2'
_symmetry_space_group_name_H-M 'I m m 2'
_symmetry_Int_Tables_number 44
_cell_length_a 6.302
_cell_length_b 6.554
_cell_length_c 10.982
_cell_angle_alpha 90.00
_cell_angle_beta 90.00
_cell_angle_gamma 90.00
loop_
_symmetry_equiv_pos_as_xyz
'x,y,z'
'-x,-y,z'
'-x,y,z'
'x,-y,z'
'x+1/2,y+1/2,z+1/2'
'-x+1/2,-y+1/2,z+1/2'
'-x+1/2,y+1/2,z+1/2'
'x+1/2,-y+1/2,z+1/2'
loop_
_atom_site_label
_atom_site_type_symbol
_atom_site_fract_x
_atom_site_fract_y
_atom_site_fract_z
Tb1 Tb 0.000 0.000 0.000
Tb2 Tb 0.000 0.268 0.252
Tb3 Tb 0.243 0.500 0.973
Pr1 Pr 0.000 0.500 0.625
In1 In 0.000 0.000 0.725

---

> Fermi-level density of states of number 3 (Mg3GaPb)?

2.03 states/eV/f.u.

---

What did the first record say?
# DyAl3Au10 PBE-GGA relaxed
# **Fermi-level density of states**: 4.49 states/eV/f.u.
# **Spin magnetization**: 0.00 μB/f.u.
# **Calculated total energy**: -3.76 eV per atom
# **Crystal system**: cubic
data_DyAl3Au10
_chemical_formula_sum 'Dy8 Al24 Au80'
_symmetry_space_group_name_H-M 'F m -3 m'
_symmetry_Int_Tables_number 225
_symmetry_space_group_name_Hall '-F 4 2 3'
_cell_length_a 12.972
_cell_length_b 12.972
_cell_length_c 12.972
_cell_angle_alpha 90.00
_cell_angle_beta 90.00
_cell_angle_gamma 90.00
loop_
_atom_site_label
_atom_site_type_symbol
_atom_site_fract_x
_atom_site_fract_y
_atom_site_fract_z
Dy1 Dy 0.250 0.250 0.250
Al1 Al 0.000 0.000 0.234
Au1 Au 0.000 0.172 0.328
Au2 Au 0.119 0.119 0.119